[1]
The following is a PBEsol calculation of an optimized crystal structure of Li3Mn3TeO8, from Alexandria.

abc: 6.157 6.157 10.212
angles: 74.09 74.09 61.01
Site moments in Bohr magnetons follow the coordinates.
Element x y z (fractional)
O1 0.120 0.664 0.100  0.09
O2 0.902 0.843 0.392  0.04
O3 0.157 0.098 0.108  0.04
O4 0.336 0.880 0.400  0.09
O5 0.664 0.120 0.600  0.09
O6 0.593 0.117 0.124  0.08
O7 0.336 0.384 0.387  0.07
O8 0.843 0.902 0.892  0.04
O9 0.664 0.616 0.613  0.07
O10 0.407 0.883 0.876  0.08
O11 0.098 0.157 0.608  0.04
O12 0.880 0.336 0.900  0.09
O13 0.883 0.407 0.376  0.08
O14 0.384 0.336 0.887  0.07
O15 0.616 0.664 0.113  0.07
O16 0.117 0.593 0.624  0.08
Mn1 0.000 0.000 0.500  3.62
Mn2 0.500 0.500 0.500  4.33
Mn3 0.000 0.500 0.000  4.32
Mn4 0.500 0.000 0.500  4.32
Mn5 0.500 0.500 0.000  4.33
Mn6 0.000 0.000 0.000  3.62
Li1 0.747 0.253 0.750  0.01
Li2 0.778 0.743 0.239  0.00
Li3 0.743 0.778 0.739  0.00
Li4 0.253 0.747 0.250  0.01
Li5 0.222 0.257 0.761  0.00
Li6 0.257 0.222 0.261  0.00
Te1 0.000 0.500 0.500  0.01
Te2 0.500 0.000 0.000  0.01

Output
- Total magnetization: 13.6 μB per formula unit
- Total energy: -207.011 eV/cell


[2]
The following is a PBEsol calculation of an optimized crystal structure of MgSbRh2, from Alexandria.

abc: 4.229 4.576 4.229
angles: 62.47 90.00 117.53
Element x y z (fractional)
Rh1 0.750 0.500 0.750
Rh2 0.250 0.500 0.250
Mg1 0.500 0.000 0.500
Sb1 0.000 0.000 0.000

Output
- Total magnetization: 0.0 μB per formula unit
- Total energy: -24.690 eV/cell


[3]
The following is a PBEsol calculation of an optimized crystal structure of ZnTcAg, from Alexandria.

abc: 2.722 2.722 6.802
angles: 90.00 90.00 120.00
Element x y z (fractional)
Zn1 0.667 0.333 0.338
Tc1 0.333 0.667 0.656
Ag1 0.000 0.000 0.006

Output
- DFT formation energy: 0.21 eV/atom
- Total magnetization: 0.0 μB per formula unit


[4]
The following is a PBEsol calculation of an optimized crystal structure of TiB3Ru, from Alexandria.

abc: 3.830 3.830 3.830
angles: 90.00 90.00 90.00
Element x y z (fractional)
Ti1 0.000 0.000 0.000
B1 0.000 0.500 0.000
B2 0.000 0.000 0.500
B3 0.500 0.000 0.000
Ru1 0.500 0.500 0.500

Output
- DFT formation energy: 1.67 eV/atom
- Total magnetization: 0.0 μB per formula unit


[5]
The following is a PBEsol calculation of an optimized crystal structure of SrP2AuN, from Alexandria.

abc: 4.576 4.576 6.151
angles: 90.00 90.00 90.00
Site moments in Bohr magnetons follow the coordinates.
Element x y z (fractional)
N1 0.500 0.500 0.500  1.19
P1 0.500 0.000 0.000  -0.04
P2 0.000 0.500 0.000  -0.04
Au1 0.000 0.000 0.000  -0.04
Sr1 0.000 0.000 0.500  -0.01

Output
- Total magnetization: 1.5 μB per formula unit
- Total energy: -20.385 eV/cell


[6]
The following is a PBEsol calculation of an optimized crystal structure of SiRhS3, from Alexandria.

abc: 4.548 4.548 4.548
angles: 90.00 90.00 90.00
Element x y z (fractional)
Rh1 0.000 0.000 0.000
S1 0.000 0.500 0.000
S2 0.500 0.000 0.000
S3 0.000 0.000 0.500
Si1 0.500 0.500 0.500

Output
- Total magnetization: 0.0 μB per formula unit
- Total energy: -24.428 eV/cell


[7]
The following is a PBEsol calculation of an optimized crystal structure of Tl2AgSn2, from Alexandria.

abc: 4.069 4.069 8.854
angles: 103.28 103.28 90.00
Element x y z (fractional)
Sn1 0.250 0.750 0.500
Sn2 0.750 0.250 0.500
Tl1 0.591 0.591 0.181
Tl2 0.409 0.409 0.819
Ag1 0.000 0.000 0.000

Output
- DFT formation energy: 0.25 eV/atom
- Energy above the lowest structure with this stoichiometry: 181 meV/atom
- Total magnetization: 0.0 μB per formula unit


[8]
The following is a PBEsol calculation of an optimized crystal structure of TlCoSb2, from Alexandria.

abc: 3.137 3.137 8.911
angles: 90.00 90.00 90.00
Element x y z (fractional)
Sb1 0.000 0.000 0.675
Sb2 0.000 0.000 0.325
Co1 0.500 0.500 0.500
Tl1 0.500 0.500 0.000

Output
- Total magnetization: 0.0 μB per formula unit
- Total energy: -19.305 eV/cell


[9]
The following is a PBEsol calculation of an optimized crystal structure of LiSc3N, from Alexandria.

abc: 4.438 4.438 4.438
angles: 90.00 90.00 90.00
Site moments in Bohr magnetons follow the coordinates.
Element x y z (fractional)
Li1 0.500 0.500 0.500  0.01
Sc1 0.000 0.000 0.500  0.14
Sc2 0.000 0.500 0.000  0.14
Sc3 0.500 0.000 0.000  0.14
N1 0.000 0.000 0.000  -0.02

Output
- Energy above the lowest structure with this stoichiometry: 0 meV/atom
- Total magnetization: 0.7 μB per formula unit


[10]
The following is a PBEsol calculation of an optimized crystal structure of Re3Os, from Alexandria.

abc: 4.758 5.484 13.295
angles: 90.00 90.00 90.00
Element x y z (fractional)
Os1 0.000 0.500 0.500
Os2 0.334 0.500 0.834
Os3 0.666 0.000 0.666
Os4 0.666 0.000 0.334
Os5 0.334 0.500 0.166
Os6 0.000 0.000 0.000
Re1 0.836 0.250 0.166
Re2 0.999 0.500 0.000
Re3 0.333 0.000 0.835
Re4 0.836 0.750 0.834
Re5 0.502 0.250 0.000
Re6 0.001 0.000 0.500
Re7 0.164 0.250 0.666
Re8 0.498 0.250 0.500
Re9 0.502 0.750 0.000
Re10 0.667 0.500 0.335
Re11 0.164 0.250 0.334
Re12 0.498 0.750 0.500
Re13 0.836 0.750 0.166
Re14 0.836 0.250 0.834
Re15 0.667 0.500 0.665
Re16 0.164 0.750 0.334
Re17 0.164 0.750 0.666
Re18 0.333 0.000 0.165

Output
- DFT formation energy: 0.00 eV/atom
- Total magnetization: 0.0 μB per formula unit


[11]
The following is a PBEsol calculation of an optimized crystal structure of GdOF, from Alexandria.

abc: 3.838 3.838 6.761
angles: 73.51 73.51 60.00
Site moments in Bohr magnetons follow the coordinates.
Element x y z (fractional)
Gd1 0.741 0.741 0.776  6.90
Gd2 0.259 0.259 0.224  6.90
F1 0.870 0.870 0.389  0.01
F2 0.130 0.130 0.611  0.01
O1 0.378 0.378 0.866  0.00
O2 0.622 0.622 0.134  0.00

Output
- Total magnetization: 7.0 μB per formula unit
- Total energy: -66.377 eV/cell


[12]
The following is a PBEsol calculation of an optimized crystal structure of Rb2SnCl6, from Alexandria.

abc: 7.121 7.121 7.121
angles: 60.00 60.00 60.00
Element x y z (fractional)
Cl1 0.757 0.243 0.757
Cl2 0.243 0.243 0.757
Cl3 0.243 0.757 0.243
Cl4 0.757 0.243 0.243
Cl5 0.757 0.757 0.243
Cl6 0.243 0.757 0.757
Sn1 0.000 0.000 0.000
Rb1 0.750 0.750 0.750
Rb2 0.250 0.250 0.250

Output
- Total magnetization: 0.0 μB per formula unit
- Total energy: -31.714 eV/cell